Entry 1:
A relaxed Si3MoP crystal. Source: Alexandria, functional PBE.

Cell lengths 4.7521, 4.7521, 4.7521 Å; angles 90.00, 90.00, 90.00 degrees
Element x y z (fractional)
Si  0.0000  0.0000  0.5000
Si  0.0000  0.5000  0.0000
Si  0.5000  0.0000  0.0000
Mo  0.0000  0.0000  0.0000
P  0.5000  0.5000  0.5000

Energy relative to the elements, uncorrected in eV/atom: 0.95
Offset from the most stable computed form in eV/atom: 0.0000
N(E_F) in states/eV per cell: 2.610

***

Entry 2:
A relaxed Pr5DyTl4 crystal. Source: Alexandria, functional PBE.

Cell lengths 3.7152, 3.7152, 22.6474 Å; angles 90.00, 90.00, 90.00 degrees
Element x y z (fractional)
Pr  0.0000  0.0000  0.0000
Pr  0.0000  0.0000  0.1943
Pr  0.0000  0.0000  0.3876
Pr  0.0000  0.0000  0.6124
Pr  0.0000  0.0000  0.8057
Dy  0.5000  0.5000  0.5000
Tl  0.5000  0.5000  0.0972
Tl  0.5000  0.5000  0.2913
Tl  0.5000  0.5000  0.7087
Tl  0.5000  0.5000  0.9028

Offset from the most stable computed form in eV/atom: 0.0000
Formation energy from the elements in eV per formula unit: -2.9
N(E_F) in states/eV per cell: 12.286

***

Entry 3:
A relaxed CaPmNd4 crystal. Source: Alexandria, functional PBE.

Cell lengths 6.8365, 6.8365, 6.8365 Å; angles 60.00, 60.00, 60.00 degrees
Element x y z (fractional)
Ca  0.0000  0.0000  0.0000
Pm  0.7500  0.7500  0.7500
Nd  0.3764  0.3764  0.3764
Nd  0.3764  0.3764  0.8708
Nd  0.3764  0.8708  0.3764
Nd  0.8708  0.3764  0.3764

Offset from the most stable computed form in eV/atom: 0.1658
Formation energy from the elements in eV per formula unit: 1.2
N(E_F) in states/eV per cell: 8.816